Version i
Crystalline TmTiOs2 at its relaxed geometry. Source: Alexandria via LeMat-Bulk, functional PBE-GGA.

Geometry as CIF:
```
data_TmTiOs2
_space_group_name_H-M_alt 'P 4/m m m'
_space_group_IT_number 123
_space_group_name_Hall '-P 4 2'
_cell_length_a 3.1887
_cell_length_b 3.1887
_cell_length_c 6.6302
_cell_angle_alpha 90.00
_cell_angle_beta 90.00
_cell_angle_gamma 90.00
loop_
_atom_site_label
_atom_site_fract_x
_atom_site_fract_y
_atom_site_fract_z
_atom_site_occupancy
Tm1 0.0000 0.0000 0.0000 1
Ti1 0.0000 0.0000 0.5000 1
Os1 0.5000 0.5000 0.2780 1
```

Calculated values
DOS(E_F) = 0.824 states/eV/atom
Calculated volume = 16.854 Å³/atom

***

Version ii
Crystalline TmTiOs2 at its relaxed geometry. Source: Alexandria via LeMat-Bulk, functional PBE-GGA.

Geometry as CIF:
```
data_TmTiOs2
_space_group_name_H-M_alt 'P 4/m m m'
_space_group_IT_number 123
_space_group_name_Hall '-P 4 2'
_cell_length_a 4.5578
_cell_length_b 4.5578
_cell_length_c 3.2356
_cell_angle_alpha 90.00
_cell_angle_beta 90.00
_cell_angle_gamma 90.00
loop_
_atom_site_label
_atom_site_fract_x
_atom_site_fract_y
_atom_site_fract_z
_atom_site_occupancy
Tm1 0.0000 0.0000 0.0000 1
Ti1 0.5000 0.5000 0.0000 1
Os1 0.0000 0.5000 0.5000 1
```

Calculated values
DOS(E_F) = 0.857 states/eV/atom
Calculated volume = 16.804 Å³/atom

***

Which one is most stable, and which one is least stable? version i is the most stable of them, while version ii is the least stable.

***

Version i
Crystalline UTi2Os at its relaxed geometry. Source: Alexandria via LeMat-Bulk, functional PBE-GGA.

Geometry as CIF:
```
data_UTi2Os
_space_group_name_H-M_alt 'P 4/m m m'
_space_group_IT_number 123
_space_group_name_Hall '-P 4 2'
_cell_length_a 4.6378
_cell_length_b 4.6378
_cell_length_c 3.0944
_cell_angle_alpha 90.00
_cell_angle_beta 90.00
_cell_angle_gamma 90.00
loop_
_atom_site_label
_atom_site_fract_x
_atom_site_fract_y
_atom_site_fract_z
_atom_site_occupancy
U1 0.0000 0.0000 0.0000 1
Ti1 0.0000 0.5000 0.5000 1
Os1 0.5000 0.5000 0.0000 1
```

Calculated values
DOS(E_F) = 1.642 states/eV/atom
Calculated volume = 16.639 Å³/atom

***

Version ii
Crystalline UTi2Os at its relaxed geometry. Source: Alexandria via LeMat-Bulk, functional PBE-GGA.

Geometry as CIF:
```
data_UTi2Os
_space_group_name_H-M_alt 'P 4/m m m'
_space_group_IT_number 123
_space_group_name_Hall '-P 4 2'
_cell_length_a 3.0346
_cell_length_b 3.0346
_cell_length_c 7.5818
_cell_angle_alpha 90.00
_cell_angle_beta 90.00
_cell_angle_gamma 90.00
loop_
_atom_site_label
_atom_site_fract_x
_atom_site_fract_y
_atom_site_fract_z
_atom_site_occupancy
U1 0.0000 0.0000 0.0000 1
Ti1 0.5000 0.5000 0.2942 1
Os1 0.0000 0.0000 0.5000 1
```

Calculated values
DOS(E_F) = 1.492 states/eV/atom
Calculated volume = 17.454 Å³/atom

***

Which one is most stable, and which one is least stable? version ii is the most stable of them, while version i is the least stable.

***

Version i
Crystalline TiV4Os at its relaxed geometry. Source: Alexandria via LeMat-Bulk, functional PBE-GGA.

Geometry as CIF:
```
data_TiV4Os
_space_group_name_H-M_alt 'F -4 3 m'
_space_group_IT_number 216
_space_group_name_Hall 'F -4 2 3'
_cell_length_a 6.9527
_cell_length_b 6.9527
_cell_length_c 6.9527
_cell_angle_alpha 90.00
_cell_angle_beta 90.00
_cell_angle_gamma 90.00
loop_
_atom_site_label
_atom_site_fract_x
_atom_site_fract_y
_atom_site_fract_z
_atom_site_occupancy
Ti1 0.0000 0.0000 0.0000 1
V1 0.1249 0.1249 0.3751 1
Os1 0.2500 0.2500 0.7500 1
```

Calculated values
DOS(E_F) = 0.572 states/eV/atom
Calculated volume = 14.004 Å³/atom

***

Version ii
Crystalline TiV4Os at its relaxed geometry. Source: Alexandria via LeMat-Bulk, functional PBE-GGA.

Geometry as CIF:
```
data_TiV4Os
_space_group_name_H-M_alt 'C m m m'
_space_group_IT_number 65
_space_group_name_Hall '-C 2 2'
_cell_length_a 4.2778
_cell_length_b 9.1091
_cell_length_c 4.2786
_cell_angle_alpha 90.00
_cell_angle_beta 90.00
_cell_angle_gamma 90.00
loop_
_atom_site_label
_atom_site_fract_x
_atom_site_fract_y
_atom_site_fract_z
_atom_site_occupancy
Ti1 0.0000 0.0000 0.0000 1
V1 0.0000 0.1678 0.5000 1
V2 0.0000 0.3279 0.0000 1
Os1 0.0000 0.5000 0.5000 1
```

Calculated values
DOS(E_F) = 1.493 states/eV/atom
Calculated volume = 13.894 Å³/atom

***

Which one is most stable, and which one is least stable? version ii is the most stable of them, while version i is the least stable.

***

Version i
Crystalline TiV2Os2 at its relaxed geometry. Source: Alexandria via LeMat-Bulk, functional PBE-GGA.

Geometry as CIF:
```
data_TiV2Os2
_space_group_name_H-M_alt 'P 4/m b m'
_space_group_IT_number 127
_space_group_name_Hall '-P 4 2ab'
_cell_length_a 7.2402
_cell_length_b 7.2402
_cell_length_c 2.8849
_cell_angle_alpha 90.00
_cell_angle_beta 90.00
_cell_angle_gamma 90.00
loop_
_atom_site_label
_atom_site_fract_x
_atom_site_fract_y
_atom_site_fract_z
_atom_site_occupancy
Ti1 0.0000 0.0000 0.0000 1
V1 0.1554 0.3446 0.5000 1
Os1 0.1433 0.6433 0.0000 1
```

Calculated values
DOS(E_F) = 1.532 states/eV/atom
Calculated volume = 15.123 Å³/atom

***

Version ii
Crystalline TiV2Os2 at its relaxed geometry. Source: Alexandria via LeMat-Bulk, functional PBE-GGA.

Geometry as CIF:
```
data_TiV2Os2
_space_group_name_H-M_alt 'C m m m'
_space_group_IT_number 65
_space_group_name_Hall '-C 2 2'
_cell_length_a 2.9758
_cell_length_b 16.5877
_cell_length_c 3.0169
_cell_angle_alpha 90.00
_cell_angle_beta 90.00
_cell_angle_gamma 90.00
loop_
_atom_site_label
_atom_site_fract_x
_atom_site_fract_y
_atom_site_fract_z
_atom_site_occupancy
Ti1 0.0000 0.0000 0.0000 1
V1 0.0000 0.1882 0.0000 1
Os1 0.0000 0.4032 0.5000 1
```

Calculated values
DOS(E_F) = 0.626 states/eV/atom
Calculated volume = 14.891 Å³/atom

***

Which one is most stable, and which one is least stable? version ii is the most stable of them, while version i is the least stable.